No. 1
This record from Alexandria describes crystalline AcGaSe2O8 at its relaxed geometry. The functional is GGA-PBE.

Summary:
Formation energy (no corrections) = -1368 meV per atom

a b c (Å): 5.289 5.289 7.102
angles (deg): 90.00 90.00 120.00
Each line ends with the local moment (μB).
Element x y z (fractional)
Ga 0.000 0.000 0.500  -0.01
O 0.333 0.667 0.944  0.00
O 0.978 0.705 0.315  0.22
O 0.705 0.727 0.685  0.22
O 0.667 0.333 0.056  0.00
O 0.273 0.978 0.685  0.22
O 0.295 0.273 0.315  0.22
O 0.727 0.022 0.315  0.22
O 0.022 0.295 0.685  0.22
Ac 0.000 0.000 0.000  0.02
Se 0.667 0.333 0.295  0.16
Se 0.333 0.667 0.705  0.16

***

No. 2
This record from Alexandria describes crystalline AcGa2SeO8 at its relaxed geometry. The functional is GGA-PBE.

Summary:
Formation energy (no corrections) = -1484 meV per atom

a b c (Å): 4.469 4.640 7.359
angles (deg): 83.01 90.35 89.51
Each line ends with the local moment (μB).
Element x y z (fractional)
O 0.297 0.284 0.995  0.00
O 0.524 0.694 0.570  0.40
O 0.181 0.780 0.202  0.01
O 0.819 0.220 0.798  0.01
O 0.476 0.306 0.430  0.40
O 0.183 0.832 0.823  0.01
O 0.703 0.716 0.005  0.00
O 0.817 0.168 0.177  0.01
Ga 0.477 0.474 0.188  0.00
Ga 0.523 0.526 0.812  0.00
Ac 0.000 0.000 0.500  0.00
Se 0.000 0.000 0.000  0.00

***

No. 3
This record from Alexandria describes crystalline SrAc2GaO6 at its relaxed geometry. The functional is GGA-PBE.

Summary:
Formation energy (no corrections) = -2514 meV per atom

a b c (Å): 5.433 5.644 5.644
angles (deg): 90.00 90.00 90.00
Each line ends with the local moment (μB).
Element x y z (fractional)
O 0.734 0.770 0.230  0.11
O 0.734 0.230 0.230  0.11
O 0.734 0.230 0.770  0.11
O 0.734 0.770 0.770  0.11
O 0.109 0.500 0.500  0.19
O 0.250 0.000 0.000  0.08
Ga 0.597 0.000 0.000  0.00
Ac 0.002 0.000 0.500  0.00
Ac 0.002 0.500 0.000  0.00
Sr 0.548 0.500 0.500  0.01

***

No. 4
This record from Alexandria describes crystalline AcGa2TcO8 at its relaxed geometry. The functional is GGA-PBE.

Summary:
Formation energy (no corrections) = -1815 meV per atom

a b c (Å): 4.908 4.911 6.998
angles (deg): 81.22 81.13 79.05
Element x y z (fractional)
O 0.782 0.208 0.802
O 0.786 0.212 0.200
O 0.670 0.665 0.501
O 0.214 0.788 0.800
O 0.757 0.749 0.060
O 0.243 0.251 0.940
O 0.330 0.335 0.499
O 0.218 0.792 0.198
Tc 0.000 0.000 0.000
Ga 0.450 0.451 0.717
Ga 0.550 0.549 0.283
Ac 0.000 0.000 0.500

***

No. 5
This record from Alexandria describes crystalline AcGaTeO5 at its relaxed geometry. The functional is GGA-PBE.

Summary:
Formation energy (no corrections) = -1903 meV per atom

a b c (Å): 5.887 5.887 8.450
angles (deg): 110.23 110.23 97.01
Element x y z (fractional)
O 0.685 0.102 0.435
O 0.033 0.967 0.250
O 0.223 0.375 0.613
O 0.967 0.033 0.750
O 0.315 0.898 0.565
O 0.777 0.625 0.387
O 0.375 0.223 0.113
O 0.898 0.315 0.065
O 0.625 0.777 0.887
O 0.102 0.685 0.935
Ac 0.311 0.689 0.250
Ac 0.689 0.311 0.750
Te 0.268 0.732 0.750
Te 0.732 0.268 0.250
Ga 0.000 0.000 0.000
Ga 0.000 0.000 0.500

***

No. 6
This record from Alexandria describes crystalline AcGaTe2O8 at its relaxed geometry. The functional is GGA-PBE.

Summary:
Formation energy (no corrections) = -1498 meV per atom

a b c (Å): 5.503 5.503 7.080
angles (deg): 90.00 90.00 120.00
Each line ends with the local moment (μB).
Element x y z (fractional)
Ga 0.000 0.000 0.500  -0.01
Te 0.333 0.667 0.694  0.16
Te 0.667 0.333 0.306  0.16
Ac 0.000 0.000 0.000  0.02
O 0.270 0.989 0.682  0.20
O 0.989 0.719 0.318  0.20
O 0.333 0.667 0.956  0.00
O 0.281 0.270 0.318  0.20
O 0.011 0.281 0.682  0.20
O 0.730 0.011 0.318  0.20
O 0.667 0.333 0.044  0.00
O 0.719 0.730 0.682  0.20

***

No. 7
This record from Alexandria describes crystalline AcGa2TeO8 at its relaxed geometry. The functional is GGA-PBE.

Summary:
Formation energy (no corrections) = -1698 meV per atom

a b c (Å): 4.528 4.730 7.505
angles (deg): 96.31 90.01 88.35
Each line ends with the local moment (μB).
Element x y z (fractional)
Ga 0.523 0.535 0.192  0.00
Ga 0.477 0.465 0.808  0.00
O 0.812 0.181 0.810  0.01
O 0.550 0.691 0.432  0.40
O 0.811 0.225 0.208  0.00
O 0.305 0.293 0.007  0.00
O 0.189 0.775 0.792  0.00
O 0.450 0.309 0.568  0.40
O 0.695 0.707 0.993  0.00
O 0.188 0.819 0.190  0.01
Ac 0.000 0.000 0.500  0.01
Te 0.000 0.000 0.000  0.00

***

No. 8
This record from Alexandria describes crystalline AcTl2GaO6 at its relaxed geometry. The functional is GGA-PBE.

Summary:
Formation energy (no corrections) = -1543 meV per atom

a b c (Å): 5.789 5.789 6.111
angles (deg): 61.73 61.72 59.99
Element x y z (fractional)
Ac 0.800 0.800 0.601
Ga 0.321 0.321 0.038
O 0.227 0.957 0.239
O 0.688 0.154 0.775
O 0.154 0.383 0.775
O 0.382 0.688 0.775
O 0.957 0.577 0.239
O 0.577 0.227 0.239
Tl 0.021 0.021 0.937
Tl 0.535 0.535 0.396

***

No. 9
This record from Alexandria describes crystalline AcTl2GaO4 at its relaxed geometry. The functional is GGA-PBE.

Summary:
Formation energy (no corrections) = -1807 meV per atom

a b c (Å): 5.209 9.273 7.382
angles (deg): 90.00 90.00 90.00
Element x y z (fractional)
O 0.360 0.168 0.000
O 0.860 0.832 0.500
O 0.947 0.945 0.000
O 0.893 0.220 0.224
O 0.393 0.780 0.276
O 0.447 0.055 0.500
O 0.893 0.220 0.776
O 0.393 0.780 0.724
Ga 0.495 0.850 0.500
Ga 0.995 0.150 0.000
Tl 0.973 0.668 0.751
Tl 0.473 0.332 0.251
Tl 0.973 0.668 0.249
Tl 0.473 0.332 0.749
Ac 0.466 0.912 0.000
Ac 0.966 0.088 0.500

***

No. 10
This record from Alexandria describes crystalline Ac3Tl4GaO8 at its relaxed geometry. The functional is GGA-PBE.

Summary:
Formation energy (no corrections) = -1855 meV per atom

a b c (Å): 7.298 7.629 7.685
angles (deg): 116.05 118.35 90.00
Element x y z (fractional)
O 0.836 0.357 0.066
O 0.281 0.739 0.562
O 0.719 0.261 0.438
O 0.770 0.643 0.934
O 0.288 0.316 0.576
O 0.712 0.684 0.424
O 0.164 0.643 0.934
O 0.230 0.357 0.066
Ac 0.000 0.500 0.500
Ac 0.500 0.500 0.000
Ac 0.500 0.500 0.500
Tl 0.500 0.000 0.000
Tl 0.000 0.000 0.000
Tl 0.000 0.000 0.500
Tl 0.500 0.000 0.500
Ga 0.000 0.500 0.000

***

No. 11
This record from Alexandria describes crystalline Ac4TlGaO at its relaxed geometry. The functional is GGA-PBE.

Summary:
Formation energy (no corrections) = -967 meV per atom

a b c (Å): 7.175 7.194 9.647
angles (deg): 90.00 111.83 90.00
Element x y z (fractional)
Tl 0.889 0.750 0.779
Tl 0.111 0.250 0.221
Ac 0.443 0.750 0.887
Ac 0.000 0.500 0.500
Ac 0.500 0.000 0.500
Ac 0.500 0.500 0.500
Ac 0.923 0.250 0.845
Ac 0.557 0.250 0.113
Ac 0.000 0.000 0.500
Ac 0.077 0.750 0.155
O 0.777 0.250 0.553
O 0.223 0.750 0.447
Ga 0.379 0.250 0.757
Ga 0.621 0.750 0.243

***

No. 12
This record from Alexandria describes crystalline Ac4TlGa3O12 at its relaxed geometry. The functional is GGA-PBE.

Summary:
Formation energy (no corrections) = -2395 meV per atom

a b c (Å): 7.042 7.042 7.042
angles (deg): 109.47 109.47 109.47
Element x y z (fractional)
Ga 0.500 0.500 0.000
Ga 0.000 0.500 0.500
Ga 0.500 0.000 0.500
O 0.750 0.500 0.250
O 0.000 0.735 0.735
O 0.500 0.250 0.750
O 0.735 0.000 0.735
O 0.500 0.750 0.250
O 0.265 0.265 0.000
O 0.250 0.750 0.500
O 0.750 0.250 0.500
O 0.265 0.000 0.265
O 0.000 0.265 0.265
O 0.735 0.735 0.000
O 0.250 0.500 0.750
Ac 0.500 0.000 0.000
Ac 0.500 0.500 0.500
Ac 0.000 0.500 0.000
Ac 0.000 0.000 0.500
Tl 0.000 0.000 0.000